No. 1
Density functional theory data (PBEsol) for an optimized crystal structure of CaY2Mg.

Summary:
Energy relative to the elements (meV per atom): 23.7
V (Å³ per cell): 121.6
Spin magnetization (μB/f.u.): 0.0
Space group: C2/m, No. 12
Energy (eV/atom): -4.350

a = 3.711 Å, b = 5.537 Å, c = 6.790 Å
α = 113.98°, β = 105.86°, γ = 90.00°
Positions (direct):
Y 0.776 0.776 0.553
Mg 0.500 0.000 0.000
Y 0.224 0.224 0.447
Ca 0.000 0.500 0.000



No. 2
Density functional theory data (PBEsol) for an optimized crystal structure of NiHRh3.

Summary:
V (Å³ per cell): 54.4
Spin magnetization (μB/f.u.): 1.9
Space group: Pm-3m, No. 221
Energy (eV/atom): -6.718

a = 3.790 Å, b = 3.790 Å, c = 3.790 Å
α = 90.00°, β = 90.00°, γ = 90.00°
Each line ends with the local moment (μB).
Positions (direct):
Rh 0.000 0.000 0.500  0.35
Ni 0.500 0.500 0.500  0.91
Rh 0.500 0.000 0.000  0.35
H 0.000 0.000 0.000  0.00
Rh 0.000 0.500 0.000  0.35



No. 3
Density functional theory data (PBEsol) for an optimized crystal structure of Fe3Co5.

Summary:
Energy relative to the elements (meV per atom): 47.8
V (Å³ per cell): 86.2
Spin magnetization (μB/f.u.): 16.3
Space group: Pmmm, No. 47
Energy (eV/atom): -8.149

a = 2.778 Å, b = 3.925 Å, c = 7.902 Å
α = 90.00°, β = 90.00°, γ = 90.00°
Each line ends with the local moment (μB).
Positions (direct):
Co 0.500 0.000 0.249  1.72
Fe 0.000 0.500 0.249  2.62
Fe 0.500 0.500 0.500  2.54
Co 0.500 0.000 0.751  1.72
Co 0.500 0.500 0.000  1.73
Co 0.000 0.000 0.000  1.72
Fe 0.000 0.500 0.751  2.62
Co 0.000 0.000 0.500  1.72



No. 4
Density functional theory data (PBEsol) for an optimized crystal structure of LiCd.

Summary:
Energy relative to the elements (meV per atom): -197.8
V (Å³ per cell): 143.1
Spin magnetization (μB/f.u.): 0.0
Space group: P2_13, No. 198
Energy (eV/atom): -1.780

a = 5.230 Å, b = 5.230 Å, c = 5.230 Å
α = 90.00°, β = 90.00°, γ = 90.00°
Positions (direct):
Li 0.096 0.096 0.096
Cd 0.101 0.601 0.899
Cd 0.899 0.101 0.601
Li 0.904 0.596 0.404
Li 0.596 0.404 0.904
Cd 0.399 0.399 0.399
Cd 0.601 0.899 0.101
Li 0.404 0.904 0.596



No. 5
Density functional theory data (PBEsol) for an optimized crystal structure of NiBi.

Summary:
Energy relative to the elements (meV per atom): -48.7
V (Å³ per cell): 75.3
Spin magnetization (μB/f.u.): 0.0
Space group: P6_3/mmc, No. 194
Energy (eV/atom): -5.270

a = 4.108 Å, b = 4.108 Å, c = 5.154 Å
α = 90.00°, β = 90.00°, γ = 120.00°
Positions (direct):
Bi 0.667 0.333 0.750
Ni 0.000 0.000 0.500
Ni 0.000 0.000 0.000
Bi 0.333 0.667 0.250



No. 6
Density functional theory data (PBEsol) for an optimized crystal structure of BaNaSbI2.

Summary:
V (Å³ per cell): 292.7
Spin magnetization (μB/f.u.): 2.0
Space group: P4/mmm, No. 123
Formation energy without anion corrections (eV per atom): -0.51
Energy (eV/atom): -2.834

a = 6.600 Å, b = 6.600 Å, c = 6.721 Å
α = 90.00°, β = 90.00°, γ = 90.00°
Each line ends with the local moment (μB).
Positions (direct):
Na 0.500 0.500 0.500  0.00
I 0.000 0.500 0.000  0.04
I 0.500 0.000 0.000  0.04
Ba 0.000 0.000 0.000  0.03
Sb 0.000 0.000 0.500  0.63



No. 7
Density functional theory data (PBEsol) for an optimized crystal structure of MnBH3.

Summary:
V (Å³ per cell): 28.8
Spin magnetization (μB/f.u.): 1.1
Space group: Pm-3m, No. 221
Energy (eV/atom): -4.415

a = 3.065 Å, b = 3.065 Å, c = 3.065 Å
α = 90.00°, β = 90.00°, γ = 90.00°
Each line ends with the local moment (μB).
Positions (direct):
Mn 0.000 0.000 0.000  1.20
B 0.500 0.500 0.500  -0.05
H 0.000 0.000 0.500  -0.01
H 0.500 0.000 0.000  -0.01
H 0.000 0.500 0.000  -0.01



No. 8
Density functional theory data (PBEsol) for an optimized crystal structure of LaAgAu.

Summary:
Energy relative to the elements (meV per atom): -547.3
V (Å³ per cell): 69.7
Spin magnetization (μB/f.u.): 0.0
Space group: P-6m2, No. 187
Energy (eV/atom): -4.741

a = 3.624 Å, b = 4.714 Å, c = 4.714 Å
α = 120.00°, β = 90.00°, γ = 90.00°
Positions (direct):
La 0.500 0.667 0.333
Au 0.000 0.333 0.667
Ag 0.000 0.000 0.000



No. 9
Density functional theory data (PBEsol) for an optimized crystal structure of CrFeAg2.

Summary:
Energy relative to the elements (meV per atom): 545.4
V (Å³ per cell): 59.2
Spin magnetization (μB/f.u.): 0.8
Space group: F-43m, No. 216
Energy (eV/atom): -5.912

a = 4.376 Å, b = 4.376 Å, c = 4.376 Å
α = 60.00°, β = 60.00°, γ = 60.00°
Each line ends with the local moment (μB).
Positions (direct):
Cr 0.500 0.500 0.500  -3.24
Ag 0.250 0.250 0.250  -0.07
Fe 0.750 0.750 0.750  2.73
Ag 0.000 0.000 0.000  0.01



No. 10
Density functional theory data (PBEsol) for an optimized crystal structure of LiYFe2.

Summary:
Energy relative to the elements (meV per atom): 358.9
V (Å³ per cell): 66.3
Spin magnetization (μB/f.u.): 4.0
Space group: C2/m, No. 12
Energy (eV/atom): -6.320

a = 3.844 Å, b = 4.190 Å, c = 5.133 Å
α = 112.40°, β = 90.00°, γ = 117.30°
Each line ends with the local moment (μB).
Positions (direct):
Fe 0.792 0.584 0.900  2.15
Fe 0.208 0.416 0.100  2.15
Y 0.000 0.000 0.500  -0.21
Li 0.500 0.000 0.000  -0.02



No. 11
Density functional theory data (PBEsol) for an optimized crystal structure of ZrNiSb2Te.

Summary:
V (Å³ per cell): 118.1
Spin magnetization (μB/f.u.): 0.0
Space group: P4/mmm, No. 123
Formation energy without anion corrections (eV per atom): 0.24
Energy (eV/atom): -5.335

a = 4.820 Å, b = 4.820 Å, c = 5.086 Å
α = 90.00°, β = 90.00°, γ = 90.00°
Positions (direct):
Te 0.000 0.000 0.500
Sb 0.000 0.500 0.000
Zr 0.500 0.500 0.500
Ni 0.000 0.000 0.000
Sb 0.500 0.000 0.000



No. 12
Density functional theory data (PBEsol) for an optimized crystal structure of Li3NbNi4O8.

Summary:
V (Å³ per cell): 141.1
Spin magnetization (μB/f.u.): 4.0
Space group: C2/m, No. 12
Formation energy without anion corrections (eV per atom): -1.45
Energy (eV/atom): -6.659

a = 5.872 Å, b = 5.800 Å, c = 5.800 Å
α = 60.94°, β = 89.47°, γ = 119.91°
Each line ends with the local moment (μB).
Positions (direct):
O 0.743 0.999 0.256  0.13
Ni 0.500 0.000 0.000  1.49
Ni 0.500 0.500 0.000  1.19
Nb 0.500 0.000 0.500  0.00
Li 0.000 0.500 0.000  0.01
O 0.266 0.516 0.250  0.15
O 0.734 0.484 0.750  0.15
Li 0.000 0.000 0.500  0.01
Li 0.000 0.000 0.000  0.00
O 0.251 0.000 0.255  0.07
Ni 0.500 0.500 0.500  1.49
O 0.749 0.000 0.745  0.07
O 0.251 0.506 0.749  0.07
O 0.749 0.494 0.251  0.07
Ni 0.000 0.500 0.500  -1.20
O 0.257 0.001 0.744  0.13



The lowest energy belongs to which entry?
Fe3Co5